Record 1
PrDyInN3 | PBE | relaxed

Unit cell a=6.6528 b=3.4132 c=9.4889 alpha=90.00 beta=94.32 gamma=90.00
Positions (direct):
Pr  0.1952  0.2500  0.2455
Pr  0.8048  0.7500  0.7545
Dy  0.3317  0.7500  0.8940
Dy  0.6683  0.2500  0.1060
In  0.1686  0.2500  0.5928
In  0.8314  0.7500  0.4072
N  0.1028  0.2500  0.8150
N  0.1985  0.7500  0.4545
N  0.4068  0.7500  0.1303
N  0.5932  0.2500  0.8697
N  0.8015  0.2500  0.5455
N  0.8972  0.7500  0.1850

The value obtained for the total energy is -6.926 eV per atom. The calculation puts the formation energy from raw total energies at -744 meV per atom. As for the space group: P2_1/m.

=====

Record 2
Dy2ScInN | PBE | relaxed

Unit cell a=4.8165 b=4.8165 c=4.5133 alpha=90.00 beta=90.00 gamma=90.00
Positions (direct):
Dy  0.0000  0.5000  0.0000
Dy  0.5000  0.0000  0.0000
Sc  0.0000  0.0000  0.5000
In  0.5000  0.5000  0.5000
N  0.0000  0.0000  0.0000

The value obtained for the total energy is -6.342 eV per atom. The calculation puts the formation energy from raw total energies at -1022 meV per atom. As for the space group: P4/mmm.

=====

Record 3
DySc2InN | PBE | relaxed

Unit cell a=4.5195 b=4.5195 c=4.7670 alpha=90.00 beta=90.00 gamma=90.00
Positions (direct):
Dy  0.0000  0.0000  0.0000
Sc  0.0000  0.5000  0.5000
Sc  0.5000  0.0000  0.5000
In  0.5000  0.5000  0.0000
N  0.0000  0.0000  0.5000

The value obtained for the total energy is -6.721 eV per atom. The calculation puts the formation energy from raw total energies at -1055 meV per atom. As for the space group: P4/mmm.

=====

Record 4
SmDy2InN | PBE | relaxed

Unit cell a=4.8274 b=4.8274 c=4.9513 alpha=90.00 beta=90.00 gamma=90.00
Positions (direct):
Sm  0.0000  0.0000  0.0000
Dy  0.0000  0.5000  0.5000
Dy  0.5000  0.0000  0.5000
In  0.5000  0.5000  0.0000
N  0.0000  0.0000  0.5000

The value obtained for the total energy is -5.964 eV per atom. The calculation puts the formation energy from raw total energies at -967 meV per atom. As for the space group: P4/mmm.

=====

Record 5
Sm2DyInN | PBE | relaxed

Unit cell a=4.9615 b=4.9615 c=4.8233 alpha=90.00 beta=90.00 gamma=90.00
Positions (direct):
Sm  0.0000  0.5000  0.0000
Sm  0.5000  0.0000  0.0000
Dy  0.0000  0.0000  0.5000
In  0.5000  0.5000  0.5000
N  0.0000  0.0000  0.0000

The value obtained for the total energy is -5.960 eV per atom. The calculation puts the formation energy from raw total energies at -939 meV per atom. As for the space group: P4/mmm.

=====

Record 6
Dy4InSnN | PBE | relaxed

Unit cell a=8.6874 b=8.6874 c=6.6645 alpha=90.00 beta=90.00 gamma=134.89
Positions (direct):
Dy  0.0000  0.5000  0.0000
Dy  0.0000  0.5000  0.5000
Dy  0.0888  0.9112  0.7500
Dy  0.4099  0.5901  0.7500
Dy  0.5000  0.0000  0.0000
Dy  0.5000  0.0000  0.5000
Dy  0.5901  0.4099  0.2500
Dy  0.9112  0.0888  0.2500
In  0.1102  0.8898  0.2500
In  0.8898  0.1102  0.7500
Sn  0.3912  0.6088  0.2500
Sn  0.6088  0.3912  0.7500
N  0.2509  0.7491  0.7500
N  0.7491  0.2509  0.2500

The value obtained for the total energy is -5.659 eV per atom. The calculation puts the formation energy from raw total energies at -876 meV per atom. As for the space group: Cmcm.

=====

Record 7
TbDy2InN4 | PBE | relaxed

Unit cell a=5.9824 b=3.4595 c=5.9899 alpha=90.00 beta=110.45 gamma=90.00
Positions (direct):
Tb  0.0000  0.0000  0.0000
Dy  0.0000  0.5000  0.5000
Dy  0.5000  0.0000  0.5000
In  0.5000  0.5000  0.0000
N  0.2441  0.5000  0.2580
N  0.2509  0.0000  0.7498
N  0.7491  0.0000  0.2502
N  0.7559  0.5000  0.7420

The value obtained for the total energy is -7.417 eV per atom. The calculation puts the formation energy from raw total energies at -1183 meV per atom. As for the space group: P2/m.

=====

Record 8
Tb2DyInN | PBE | relaxed

Unit cell a=4.8499 b=4.8499 c=4.8213 alpha=90.00 beta=90.00 gamma=90.00
Positions (direct):
Tb  0.0000  0.5000  0.0000
Tb  0.5000  0.0000  0.0000
Dy  0.0000  0.0000  0.5000
In  0.5000  0.5000  0.5000
N  0.0000  0.0000  0.0000

The value obtained for the total energy is -5.976 eV per atom. The calculation puts the formation energy from raw total energies at -990 meV per atom. As for the space group: P4/mmm.

=====

Record 9
DyTh2InN5 | PBE | relaxed

Unit cell a=7.2606 b=7.2606 c=11.2660 alpha=90.00 beta=90.00 gamma=151.39
Positions (direct):
Dy  0.2184  0.7816  0.5000
Dy  0.7816  0.2184  0.0000
Th  0.1240  0.8760  0.2074
Th  0.1315  0.8685  0.7696
Th  0.8685  0.1315  0.2696
Th  0.8760  0.1240  0.7074
In  0.4896  0.5104  0.9897
In  0.5104  0.4896  0.4897
N  0.0604  0.9396  0.5739
N  0.2895  0.7105  0.1604
N  0.2906  0.7094  0.8550
N  0.3679  0.6321  0.5688
N  0.4890  0.5110  0.2966
N  0.5110  0.4890  0.7966
N  0.6321  0.3679  0.0688
N  0.7094  0.2906  0.3550
N  0.7105  0.2895  0.6604
N  0.9396  0.0604  0.0739

The value obtained for the total energy is -8.060 eV per atom. The calculation puts the formation energy from raw total energies at -970 meV per atom. As for the space group: Cmc2_1.

=====

Record 10
DyTh2InN | PBE | relaxed

Unit cell a=4.9686 b=4.9686 c=4.9398 alpha=90.00 beta=90.00 gamma=90.00
Positions (direct):
Dy  0.0000  0.0000  0.0000
Th  0.0000  0.5000  0.5000
Th  0.5000  0.0000  0.5000
In  0.5000  0.5000  0.0000
N  0.0000  0.0000  0.5000

The value obtained for the total energy is -6.898 eV per atom. The calculation puts the formation energy from raw total energies at -797 meV per atom. As for the space group: P4/mmm.

=====

Record 11
Dy2ThInN | PBE | relaxed

Unit cell a=4.8864 b=4.8864 c=4.9045 alpha=90.00 beta=90.00 gamma=90.00
Positions (direct):
Dy  0.0000  0.5000  0.0000
Dy  0.5000  0.0000  0.0000
Th  0.0000  0.0000  0.5000
In  0.5000  0.5000  0.5000
N  0.0000  0.0000  0.0000

The value obtained for the total energy is -6.427 eV per atom. The calculation puts the formation energy from raw total energies at -889 meV per atom. As for the space group: P4/mmm.

=====

Record 12
Dy4TlInN | PBE | relaxed

Unit cell a=8.5723 b=8.5723 c=6.7308 alpha=90.00 beta=90.00 gamma=133.78
Positions (direct):
Dy  0.0000  0.5000  0.0000
Dy  0.0000  0.5000  0.5000
Dy  0.0871  0.9129  0.7500
Dy  0.4118  0.5882  0.7500
Dy  0.5000  0.0000  0.0000
Dy  0.5000  0.0000  0.5000
Dy  0.5882  0.4118  0.2500
Dy  0.9129  0.0871  0.2500
Tl  0.1120  0.8880  0.2500
Tl  0.8880  0.1120  0.7500
In  0.3873  0.6127  0.2500
In  0.6127  0.3873  0.7500
N  0.2504  0.7496  0.7500
N  0.7496  0.2504  0.2500

The value obtained for the total energy is -5.263 eV per atom. The calculation puts the formation energy from raw total energies at -715 meV per atom. As for the space group: Cmcm.

=====

What is the formation energy from raw total energies in the tenth record? -797 meV per atom